Compound: Mn2HgPb
Source: the Alexandria database
Functional: PBE
Structure: relaxed

It has space group I-42d (No. 122), with a = 7.5986 Å, b = 7.5986 Å, c = 6.0833 Å, α = 90.00°, β = 90.00° and γ = 90.00°. The distinct sites, in fractional coordinates, are Mn at (0.2390, 0.2500, 0.1250), Hg at (0.0000, 0.0000, 0.0000) and Pb at (0.0000, 0.0000, 0.5000).

The magnetization comes out at 7.7 μB/f.u. The calculation puts the energy of formation from the pure elements at 0.614 eV/atom. For the density of states at the Fermi level, the calculation gives 13.5 states/eV/cell.